[1]
First-principles (PBE) data for a relaxed structure of ErPuInPd, as listed in the Alexandria database.

Computed properties:
ΔH_f (0 K)	-0.3477	eV/atom
M_tot	5.482	μB per formula unit
N(E_F)	43.201	states/eV per cell
total DFT energy (no corrections)	-0.51848	Ry per atom

abc: 7.2981 7.2981 7.2981
angles: 90.00 90.00 90.00
Last column: nearest neighbours and their distance in Å.
Space group F-43m (No. 216)
Inequivalent atoms, fractional coordinates:
Er: 0.0000 0.0000 0.0000 x4  4 In 3.16, 4 Pd 3.16
Pu: 0.0000 0.0000 0.5000 x4  4 In 3.16, 4 Pd 3.16
In: 0.2500 0.2500 0.7500 x4  4 Er 3.16, 4 Pu 3.16
Pd: 0.2500 0.2500 0.2500 x4  4 Er 3.16, 4 Pu 3.16

---

[2]
First-principles (PBE) data for a relaxed structure of SrLa3Ta, as listed in the Alexandria database.

Computed properties:
ΔH_f (0 K)	0.3940	eV/atom
M_tot	0.000	μB per formula unit
N(E_F)	7.994	states/eV per cell
energy above the most stable polymorph in this dataset	0.000	eV per formula unit
total DFT energy (no corrections)	-0.38729	Ry per atom

abc: 5.8423 5.8423 5.8423
angles: 90.00 90.00 90.00
Last column: nearest neighbours and their distance in Å.
Space group Pm-3m (No. 221)
Inequivalent atoms, fractional coordinates:
Sr: 0.0000 0.0000 0.0000 x1  12 La 4.13
La: 0.0000 0.5000 0.5000 x3  2 Ta 2.92
Ta: 0.5000 0.5000 0.5000 x1  6 La 2.92

---

[3]
First-principles (PBE) data for a relaxed structure of Pr2Dy2Se2S3, as listed in the Alexandria database.

Computed properties:
M_tot	0.000	μB per formula unit
N(E_F)	9.724	states/eV per cell
ΔE_f (raw)	-1672	meV/atom
total DFT energy (no corrections)	-0.43414	Ry per atom

abc: 5.4103 5.4103 15.2327
angles: 90.00 90.00 90.00
Last column: nearest neighbours and their distance in Å.
Space group I4/mmm (No. 139)
Inequivalent atoms, fractional coordinates:
Pr: 0.0000 0.0000 0.1994 x4  5 S 2.81-3.04, 1 Se 3.04
Dy: 0.0000 0.5000 0.0000 x4  2 S 2.71
Se: 0.0000 0.0000 0.3986 x4  1 Pr 3.04, 1 Se 3.09, 4 Dy 3.11
S: 0.0000 0.0000 0.0000 x2  4 Dy 2.71
S: 0.0000 0.5000 0.2500 x4  4 Pr 2.81

---

[4]
First-principles (PBE) data for a relaxed structure of CaPu2O11, as listed in the Alexandria database.

Computed properties:
M_tot	2.008	μB per formula unit
N(E_F)	27.489	states/eV per cell
ΔE_f (raw)	-1769	meV/atom
total DFT energy (no corrections)	-0.57732	Ry per atom

abc: 10.8523 9.3764 9.3622
angles: 90.00 90.00 90.00
Last column: nearest neighbours and their distance in Å.
Space group Ima2 (No. 46)
Inequivalent atoms, fractional coordinates:
Ca: 0.0000 0.0000 0.0000 x4  8 O 2.47-2.49
Pu: 0.2500 0.2252 0.2718 x4  4 O 1.84
Pu: 0.2500 0.7298 0.2289 x4  4 O 1.84
O: 0.1298 0.1248 0.1763 x8  1 Pu 1.84
O: 0.1304 0.1711 0.8645 x8  1 Pu 1.84
O: 0.1298 0.6328 0.3279 x8  1 Pu 1.84
O: 0.1296 0.6791 0.6246 x8  1 Pu 1.84
O: 0.2500 0.1204 0.5483 x4  1 O 1.36
O: 0.2500 0.5233 0.0265 x4  2 O 1.36
O: 0.2500 0.5506 0.8838 x4  1 O 1.36

---

[5]
First-principles (PBE) data for a relaxed structure of PuBPb, as listed in the Alexandria database.

Computed properties:
ΔH_f (0 K)	-0.1155	eV/atom
M_tot	5.549	μB per formula unit
N(E_F)	29.224	states/eV per cell
total DFT energy (no corrections)	-0.61406	Ry per atom

abc: 7.3187 3.1316 11.9870
angles: 90.00 105.90 90.00
Last column: nearest neighbours and their distance in Å.
Space group C2/m (No. 12)
Inequivalent atoms, fractional coordinates:
Pu: 0.0615 0.0000 0.1412 x4  6 B 2.67-2.75
B: 0.2105 0.5000 0.9988 x4  2 B 1.67
Pb: 0.0297 0.5000 0.6306 x4  3 Pb 3.04-3.13, 2 Pu 3.37

---

[6]
First-principles (PBE) data for a relaxed structure of Ca2LaBe, as listed in the Alexandria database.

Computed properties:
ΔH_f (0 K)	0.2594	eV/atom
M_tot	0.152	μB per formula unit
N(E_F)	9.825	states/eV per cell
total DFT energy (no corrections)	-0.21350	Ry per atom

abc: 3.6599 5.5011 12.3735
angles: 90.00 90.00 90.00
Last column: nearest neighbours and their distance in Å.
Space group Immm (No. 71)
Inequivalent atoms, fractional coordinates:
Ca: 0.0000 0.0000 0.1903 x4  2 Be 2.98
La: 0.0000 0.5000 0.0000 x2  4 Be 3.30, 4 Ca 3.62, 2 La 3.66
Be: 0.0000 0.5000 0.5000 x2  4 Ca 2.98, 4 La 3.30

---

Which of these has the lowest N(E_F)?
SrLa3Ta

---

Look up the N(E_F) of the fifth one.
29.224 states/eV per cell